GGA-PBE MnAl2Ir, relaxed; DFT formation energy = -124 kJ/mol of formula units; N(E_F) = 11.16 states/eV per cell; size of the total moment = 7.27 μB/cell
1.0
2.835 0.000 0.000
-1.418 2.456 0.000
0.000 0.000 24.493
Mn Al Ir
3 6 3
direct
0.000 0.000 0.000
0.333 0.667 0.667
0.667 0.333 0.333
0.000 0.000 0.250
0.000 0.000 0.750
0.333 0.667 0.417
0.333 0.667 0.916
0.667 0.333 0.084
0.667 0.333 0.583
0.000 0.000 0.500
0.333 0.667 0.167
0.667 0.333 0.833

=====

GGA-PBE MnAlIr2, relaxed; DFT formation energy = -46 kJ/mol of formula units; N(E_F) = 19.15 states/eV per cell; size of the total moment = 15.09 μB/cell
1.0
6.130 0.000 0.000
0.000 6.130 0.000
0.000 0.000 6.130
Mn Al Ir
4 4 8
direct
0.000 0.000 0.000
0.000 0.500 0.500
0.500 0.000 0.500
0.500 0.500 0.000
0.250 0.250 0.250
0.250 0.750 0.750
0.750 0.250 0.750
0.750 0.750 0.250
0.000 0.000 0.500
0.000 0.500 0.000
0.250 0.250 0.750
0.250 0.750 0.250
0.500 0.000 0.000
0.500 0.500 0.500
0.750 0.250 0.250
0.750 0.750 0.750